1.
Material: NaGaBi2
Method: DFT, PBE
State: relaxed

Values from the calculation:
Magnetic moment   0.0 μB per formula unit
Calculated volume   29.9 A^3/atom
Formation enthalpy at 0 K   -0.10 eV per atom

```
NaGaBi2
1.0
-4.261 4.261 3.290
4.261 -4.261 3.290
4.261 4.261 -3.290
Na Ga Bi
2 2 4
direct
0.000 0.000 0.000
0.750 0.250 0.500
0.250 0.750 0.500
0.500 0.500 0.000
0.176 0.625 0.051
0.375 0.426 0.551
0.574 0.125 0.949
0.875 0.824 0.449
```


2.
Material: NaGa2Bi2
Method: DFT, PBE
State: relaxed

Values from the calculation:
Magnetic moment   0.0 μB per formula unit
Polymorph energy (0 for the lowest one)   0.014 eV/atom
Calculated volume   30.8 A^3/atom
Formation enthalpy at 0 K   -0.07 eV per atom

```
NaGa2Bi2
1.0
-2.310 2.310 7.209
2.310 -2.310 7.209
2.310 2.310 -7.209
Na Ga Bi
1 2 2
direct
0.000 0.000 0.000
0.250 0.750 0.500
0.750 0.250 0.500
0.376 0.376 0.000
0.624 0.624 0.000
```


3.
Material: NaGaBi2
Method: DFT, PBE
State: relaxed

Values from the calculation:
Magnetic moment   0.0 μB per formula unit
Calculated volume   29.3 A^3/atom
Formation enthalpy at 0 K   -0.04 eV per atom

```
NaGaBi2
1.0
1.933 1.116 9.051
-1.933 1.116 9.051
0.000 -2.232 9.051
Na Ga Bi
1 1 2
direct
0.000 0.000 0.000
0.167 0.167 0.167
0.571 0.571 0.571
0.762 0.762 0.762
```


4.
Material: Na2Ga2Bi3
Method: DFT, PBE
State: relaxed

Values from the calculation:
Magnetic moment   0.0 μB per formula unit
Calculated volume   31.6 A^3/atom
Formation enthalpy at 0 K   -0.11 eV per atom

```
Na2Ga2Bi3
1.0
7.020 0.000 0.000
0.000 8.922 0.000
-0.235 0.000 7.070
Na Ga Bi
4 4 6
direct
0.170 0.182 0.361
0.170 0.318 0.861
0.830 0.682 0.139
0.830 0.818 0.639
0.370 0.633 0.598
0.370 0.867 0.098
0.630 0.133 0.902
0.630 0.367 0.402
0.000 0.000 0.000
0.000 0.500 0.500
0.356 0.550 0.192
0.356 0.950 0.692
0.644 0.050 0.308
0.644 0.450 0.808
```


5.
Material: NaGa2Bi2
Method: DFT, PBE
State: relaxed

Values from the calculation:
Magnetic moment   0.0 μB per formula unit
Polymorph energy (0 for the lowest one)   0.066 eV/atom
Calculated volume   27.9 A^3/atom
Formation enthalpy at 0 K   -0.01 eV per atom

```
NaGa2Bi2
1.0
8.754 0.000 0.000
0.000 8.754 0.000
0.000 0.000 3.645
Na Ga Bi
2 4 4
direct
0.000 0.000 0.000
0.500 0.500 0.000
0.143 0.357 0.500
0.357 0.857 0.500
0.643 0.143 0.500
0.857 0.643 0.500
0.151 0.651 0.000
0.349 0.151 0.000
0.651 0.849 0.000
0.849 0.349 0.000
```


6.
Material: Na2GaBi
Method: DFT, PBE
State: relaxed

Values from the calculation:
Magnetic moment   0.0 μB per formula unit
Calculated volume   26.9 A^3/atom
Formation enthalpy at 0 K   -0.16 eV per atom

```
Na2GaBi
1.0
4.788 -4.724 0.000
4.788 4.724 0.000
-4.083 0.000 4.748
Na Ga Bi
4 2 2
direct
0.221 0.779 0.000
0.221 0.779 0.500
0.779 0.221 0.000
0.779 0.221 0.500
0.320 0.320 0.569
0.680 0.680 0.431
0.276 0.276 0.026
0.724 0.724 0.974
```


7.
Material: Na2Ga2Bi
Method: DFT, PBE
State: relaxed

Values from the calculation:
Magnetic moment   0.0 μB per formula unit
Polymorph energy (0 for the lowest one)   0.000 eV/atom
Calculated volume   24.6 A^3/atom
Formation enthalpy at 0 K   -0.05 eV per atom

```
Na2Ga2Bi
1.0
8.449 0.000 0.000
0.000 8.449 0.000
0.000 0.000 3.452
Na Ga Bi
4 4 2
direct
0.186 0.314 0.000
0.314 0.814 0.000
0.686 0.186 0.000
0.814 0.686 0.000
0.111 0.611 0.500
0.389 0.111 0.500
0.611 0.889 0.500
0.889 0.389 0.500
0.000 0.000 0.500
0.500 0.500 0.500
```


8.
Material: NaGaBi2
Method: DFT, PBE
State: relaxed

Values from the calculation:
Magnetic moment   0.0 μB per formula unit
Calculated volume   29.2 A^3/atom
Formation enthalpy at 0 K   -0.04 eV per atom

```
NaGaBi2
1.0
1.935 1.117 9.018
-1.935 1.117 9.018
0.000 -2.234 9.018
Na Ga Bi
1 1 2
direct
0.000 0.000 0.000
0.500 0.500 0.500
0.238 0.238 0.238
0.762 0.762 0.762
```


9.
Material: NaGaBi4
Method: DFT, PBE
State: relaxed

Values from the calculation:
Magnetic moment   0.0 μB per formula unit
Calculated volume   34.2 A^3/atom
Formation enthalpy at 0 K   0.09 eV per atom

```
NaGaBi4
1.0
0.000 4.682 4.682
4.682 0.000 4.682
4.682 4.682 0.000
Na Ga Bi
1 1 4
direct
0.000 0.000 0.000
0.750 0.750 0.750
0.376 0.376 0.376
0.376 0.376 0.873
0.376 0.873 0.376
0.873 0.376 0.376
```


10.
Material: Na2GaBi
Method: DFT, PBE
State: relaxed

Values from the calculation:
Magnetic moment   0.0 μB per formula unit
Calculated volume   26.1 A^3/atom
Formation enthalpy at 0 K   -0.11 eV per atom

```
Na2GaBi
1.0
3.663 0.000 0.000
0.000 3.663 0.000
0.000 0.000 7.769
Na Ga Bi
2 1 1
direct
0.000 0.000 0.233
0.000 0.000 0.767
0.500 0.500 0.000
0.500 0.500 0.500
```


11.
Material: Na4Ga2Bi5
Method: DFT, PBE
State: relaxed

Values from the calculation:
Magnetic moment   0.0 μB per formula unit
Calculated volume   28.3 A^3/atom
Formation enthalpy at 0 K   -0.17 eV per atom

```
Na4Ga2Bi5
1.0
8.365 0.000 0.000
0.000 3.484 0.000
-0.492 0.000 10.679
Na Ga Bi
4 2 5
direct
0.156 0.000 0.394
0.293 0.000 0.935
0.707 0.000 0.065
0.844 0.000 0.606
0.050 0.500 0.115
0.950 0.500 0.885
0.182 0.500 0.683
0.391 0.500 0.197
0.500 0.500 0.500
0.609 0.500 0.803
0.818 0.500 0.317
```


12.
Material: Na4GaBi3
Method: DFT, PBE
State: relaxed

Values from the calculation:
Magnetic moment   0.0 μB per formula unit
Calculated volume   29.8 A^3/atom
Formation enthalpy at 0 K   -0.22 eV per atom

```
Na4GaBi3
1.0
-6.239 6.239 3.061
6.239 -6.239 3.061
6.239 6.239 -3.061
Na Ga Bi
8 2 6
direct
0.084 0.777 0.860
0.223 0.084 0.307
0.277 0.584 0.860
0.416 0.277 0.693
0.584 0.723 0.307
0.723 0.416 0.140
0.777 0.916 0.693
0.916 0.223 0.140
0.250 0.750 0.500
0.750 0.250 0.500
0.143 0.357 0.500
0.250 0.250 0.000
0.357 0.857 0.214
0.643 0.143 0.786
0.750 0.750 0.000
0.857 0.643 0.500
```